This record from Alexandria via LeMat-Bulk describes an optimized crystal structure of TePbCl2. The functional is PBE.

a b c (Å): 3.457 3.457 11.530
angles (deg): 90.00 90.00 90.00
Space group P4/mmm (No. 123)
Unique sites:
Te1 0.000 0.000 0.000 [1 per cell]
Pb1 0.000 0.000 0.500 [1 per cell]
Cl1 0.500 0.500 0.350 [2 per cell]

Distance to the lowest polymorph of the same formula: 0.047 eV per atom
Raw formation energy: -11.90 kcal/mol of atoms